[1]
YTe4W: relaxed, PBE.

Calculated values
Space-group type   No. 216
Formation energy from raw total energies   5.7 eV/f.u.
Crystal system   cubic

Lattice parameters (Å, degrees): 6.2457 6.2457 6.2457 60.00 60.00 60.00
Closest atoms and distances in Å follow each position.
Sites, in units of the cell vectors:
Y  0.0000  0.0000  0.0000  12 Te 3.66, 4 W 3.82
Te  0.8737  0.3754  0.3754  6 Te 3.11-3.13
Te  0.3754  0.3754  0.8737  6 Te 3.11-3.13
Te  0.3754  0.8737  0.3754  6 Te 3.11-3.13
Te  0.3754  0.3754  0.3754  6 Te 3.11-3.13
W  0.7500  0.7500  0.7500  12 Te 3.66, 4 Y 3.82

***

[2]
TaCrP2: relaxed, PBE.

Calculated values
Space-group type   No. 99
Energy of formation from the pure elements   -482 meV per atom
Crystal system   tetragonal

Lattice parameters (Å, degrees): 3.1483 3.1483 5.4722 90.00 90.00 90.00
Closest atoms and distances in Å follow each position.
Sites, in units of the cell vectors:
Cr  0.5000  0.5000  0.8071  5 P 2.40-2.46
P  0.0000  0.0000  0.9713  4 Cr 2.40
P  0.5000  0.5000  0.2564  1 Cr 2.46, 4 Ta 2.50, 4 P 2.72
Ta  0.0000  0.0000  0.4652  6 P 2.50-2.77

***

[3]
Ba2SrSi: relaxed, PBE.

Calculated values
Space-group type   No. 99
Formation energy from raw total energies   -0.3 eV/f.u.
Crystal system   tetragonal

Lattice parameters (Å, degrees): 4.0404 4.0396 10.8839 90.00 90.00 90.00
Closest atoms and distances in Å follow each position.
Sites, in units of the cell vectors:
Ba  0.0000  0.0000  0.9867  4 Ba 4.04
Ba  0.5000  0.5000  0.3370  4 Si 3.44, 1 Sr 3.55
Si  0.0000  0.0000  0.5126  4 Sr 3.30, 4 Ba 3.44
Sr  0.5000  0.5000  0.6636  4 Si 3.30, 1 Ba 3.55

***

How do the records compare in M_tot? In the order shown, they have 4.41; 0.00; 0.58 μB per formula unit.